Entry 1:
# HfCo2AgRh PBE optimized geometry
data_HfCo2AgRh
_cell_length_a 4.484
_cell_length_b 4.484
_cell_length_c 4.995
_cell_angle_alpha 90.00
_cell_angle_beta 90.00
_cell_angle_gamma 90.00
_symmetry_space_group_name_H-M 'P 4/m m m'
_symmetry_Int_Tables_number 123
_symmetry_space_group_name_Hall '-P 4 2'
loop_
_atom_site_label
_atom_site_fract_x
_atom_site_fract_y
_atom_site_fract_z
Hf1 0.000 0.000 0.000
Co1 0.000 0.500 0.500
Ag1 0.000 0.000 0.500
Rh1 0.500 0.500 0.000
# Raw total energy: -26.78 eV per cell

=====

Entry 2:
# YGa3IrPt PBE optimized geometry
data_YGa3IrPt
_cell_length_a 8.265
_cell_length_b 10.840
_cell_length_c 5.445
_cell_angle_alpha 90.00
_cell_angle_beta 90.00
_cell_angle_gamma 90.00
_symmetry_space_group_name_H-M 'C m c m'
_symmetry_Int_Tables_number 63
_symmetry_space_group_name_Hall '-C 2c 2'
loop_
_atom_site_label
_atom_site_fract_x
_atom_site_fract_y
_atom_site_fract_z
Y1 0.000 0.193 0.250
Ga1 0.000 0.317 0.750
Ga2 0.239 0.000 0.000
Ir1 0.000 0.090 0.750
Pt1 0.000 0.447 0.250
# Raw total energy: -133.74 eV per cell

=====

Entry 3:
# Ca2PuHg9 PBE optimized geometry
data_Ca2PuHg9
_cell_length_a 4.692
_cell_length_b 4.692
_cell_length_c 14.126
_cell_angle_alpha 90.00
_cell_angle_beta 90.00
_cell_angle_gamma 90.00
_symmetry_space_group_name_H-M 'P 4/m m m'
_symmetry_Int_Tables_number 123
_symmetry_space_group_name_Hall '-P 4 2'
loop_
_atom_site_label
_atom_site_fract_x
_atom_site_fract_y
_atom_site_fract_z
Ca1 0.000 0.000 0.166
Pu1 0.000 0.000 0.500
Hg1 0.000 0.500 0.000
Hg2 0.000 0.500 0.334
Hg3 0.500 0.500 0.164
Hg4 0.500 0.500 0.500
# Raw total energy: -24.48 eV per cell

=====

Entry 4:
# TeMo2As PBE optimized geometry
data_TeMo2As
_cell_length_a 6.188
_cell_length_b 8.414
_cell_length_c 3.138
_cell_angle_alpha 90.00
_cell_angle_beta 116.81
_cell_angle_gamma 90.00
_symmetry_space_group_name_H-M 'C 1 2/m 1'
_symmetry_Int_Tables_number 12
loop_
_symmetry_equiv_pos_as_xyz
'x,y,z'
'-x,-y,-z'
'-x,y,-z'
'x,-y,z'
'x+1/2,y+1/2,z'
'-x+1/2,-y+1/2,-z'
'-x+1/2,y+1/2,-z'
'x+1/2,-y+1/2,z'
loop_
_atom_site_label
_atom_site_fract_x
_atom_site_fract_y
_atom_site_fract_z
Te1 0.000 0.000 0.000
Mo1 0.250 0.250 0.500
As1 0.000 0.500 0.000
# Polymorph energy (0 for the lowest one): 575 meV per atom

=====

Entry 5:
# Ce9CdSn3N2 PBE optimized geometry
data_Ce9CdSn3N2
_cell_length_a 7.1767
_cell_length_b 7.1767
_cell_length_c 9.0948
_cell_angle_alpha 90.00
_cell_angle_beta 90.00
_cell_angle_gamma 120.00
_symmetry_space_group_name_H-M 'P -3 m 1'
_symmetry_Int_Tables_number 164
_symmetry_space_group_name_Hall '-P 3 2"'
loop_
_atom_site_label
_atom_site_fract_x
_atom_site_fract_y
_atom_site_fract_z
Ce1 0.0000 0.5000 0.0000
Ce2 0.1826 0.3651 0.3022
Cd1 0.0000 0.0000 0.5000
Sn1 0.0000 0.0000 0.0000
Sn2 0.3333 0.6667 0.6726
N1 0.3333 0.6667 0.1379
# Raw total energy: -90.72 eV per cell

=====

Entry 6:
# Sc2PtAu2 PBE optimized geometry
data_Sc2PtAu2
_cell_length_a 6.405
_cell_length_b 11.750
_cell_length_c 5.411
_cell_angle_alpha 90.00
_cell_angle_beta 90.00
_cell_angle_gamma 90.00
_symmetry_space_group_name_H-M 'I b a m'
_symmetry_Int_Tables_number 72
_symmetry_space_group_name_Hall '-I 2 2c'
loop_
_atom_site_label
_atom_site_fract_x
_atom_site_fract_y
_atom_site_fract_z
Sc1 0.216 0.158 0.000
Pt1 0.000 0.000 0.250
Au1 0.143 0.392 0.000
# Polymorph energy (0 for the lowest one): 0 meV per atom

=====

Entry 7:
# MnGe2WBr PBE optimized geometry
data_MnGe2WBr
_cell_length_a 4.798
_cell_length_b 4.798
_cell_length_c 5.146
_cell_angle_alpha 90.00
_cell_angle_beta 90.00
_cell_angle_gamma 90.00
_symmetry_space_group_name_H-M 'P 4/m m m'
_symmetry_Int_Tables_number 123
_symmetry_space_group_name_Hall '-P 4 2'
loop_
_atom_site_label
_atom_site_fract_x
_atom_site_fract_y
_atom_site_fract_z
Mn1 0.000 0.000 0.000
Ge1 0.000 0.500 0.000
W1 0.500 0.500 0.500
Br1 0.000 0.000 0.500
# Raw total energy: -26.43 eV per cell

=====

Entry 8:
# Mg14SiNi PBE optimized geometry
data_Mg14SiNi
_cell_length_a 6.2261
_cell_length_b 6.2261
_cell_length_c 9.8434
_cell_angle_alpha 90.00
_cell_angle_beta 90.00
_cell_angle_gamma 120.00
_symmetry_space_group_name_H-M 'P -6 m 2'
_symmetry_Int_Tables_number 187
_symmetry_space_group_name_Hall 'P -6 2'
loop_
_atom_site_label
_atom_site_fract_x
_atom_site_fract_y
_atom_site_fract_z
Mg1 0.0000 0.0000 0.2475
Mg2 0.0133 0.5066 0.2559
Mg3 0.3307 0.1654 0.5000
Mg4 0.3342 0.1671 0.0000
Si1 0.3333 0.6667 0.0000
Ni1 0.3333 0.6667 0.5000
# Raw total energy: -33.08 eV per cell

=====

Entry 9:
# TlBr3F PBE optimized geometry
data_TlBr3F
_cell_length_a 4.516
_cell_length_b 6.243
_cell_length_c 6.934
_cell_angle_alpha 100.10
_cell_angle_beta 100.40
_cell_angle_gamma 92.23
_symmetry_space_group_name_H-M 'P 1'
_symmetry_Int_Tables_number 1
loop_
_symmetry_equiv_pos_as_xyz
'x,y,z'
loop_
_atom_site_label
_atom_site_fract_x
_atom_site_fract_y
_atom_site_fract_z
Tl1 0.000 0.000 0.000
Br1 0.123 0.913 0.415
Br2 0.713 0.576 0.798
Br3 0.940 0.253 0.609
F1 0.504 0.074 0.008
# Polymorph energy (0 for the lowest one): 28 meV per atom

=====

Entry 10:
# Pr2RuI PBE optimized geometry
data_Pr2RuI
_cell_length_a 4.1948
_cell_length_b 4.1948
_cell_length_c 24.6151
_cell_angle_alpha 90.00
_cell_angle_beta 90.00
_cell_angle_gamma 120.00
_symmetry_space_group_name_H-M 'R -3 m'
_symmetry_Int_Tables_number 166
_symmetry_space_group_name_Hall '-R 3 2"'
loop_
_atom_site_label
_atom_site_fract_x
_atom_site_fract_y
_atom_site_fract_z
Pr1 0.0000 0.0000 0.2286
Ru1 0.0000 0.0000 0.5000
I1 0.0000 0.0000 0.0000
# Polymorph energy (0 for the lowest one): 0 meV per atom

=====

Entry 11:
# NaZrN3 PBE optimized geometry
data_NaZrN3
_cell_length_a 3.869
_cell_length_b 3.869
_cell_length_c 3.869
_cell_angle_alpha 90.00
_cell_angle_beta 90.00
_cell_angle_gamma 90.00
_symmetry_space_group_name_H-M 'P m -3 m'
_symmetry_Int_Tables_number 221
_symmetry_space_group_name_Hall '-P 4 2 3'
loop_
_atom_site_label
_atom_site_fract_x
_atom_site_fract_y
_atom_site_fract_z
Na1 0.000 0.000 0.000
Zr1 0.500 0.500 0.500
N1 0.000 0.000 0.500
# Raw total energy: -26.59 eV per cell

=====

Entry 12:
# Fe2CoHRu PBE optimized geometry
data_Fe2CoHRu
_cell_length_a 3.623
_cell_length_b 3.623
_cell_length_c 3.571
_cell_angle_alpha 90.00
_cell_angle_beta 90.00
_cell_angle_gamma 90.00
_symmetry_space_group_name_H-M 'P 4/m m m'
_symmetry_Int_Tables_number 123
_symmetry_space_group_name_Hall '-P 4 2'
loop_
_atom_site_label
_atom_site_fract_x
_atom_site_fract_y
_atom_site_fract_z
Fe1 0.000 0.500 0.000
Co1 0.000 0.000 0.500
H1 0.000 0.000 0.000
Ru1 0.500 0.500 0.500
# Polymorph energy (0 for the lowest one): 6 meV per atom

=====

Entry 13:
# Pr6AsSe2S3 PBE optimized geometry
data_Pr6AsSe2S3
_cell_length_a 18.288
_cell_length_b 4.176
_cell_length_c 8.433
_cell_angle_alpha 90.00
_cell_angle_beta 103.31
_cell_angle_gamma 90.00
_symmetry_space_group_name_H-M 'C 1 2/m 1'
_symmetry_Int_Tables_number 12
loop_
_symmetry_equiv_pos_as_xyz
'x,y,z'
'-x,-y,-z'
'-x,y,-z'
'x,-y,z'
'x+1/2,y+1/2,z'
'-x+1/2,-y+1/2,-z'
'-x+1/2,y+1/2,-z'
'x+1/2,-y+1/2,z'
loop_
_atom_site_label
_atom_site_fract_x
_atom_site_fract_y
_atom_site_fract_z
Pr1 0.003 0.000 0.249
Pr2 0.161 0.500 0.095
Pr3 0.167 0.500 0.570
As1 0.000 0.500 0.500
Se1 0.168 0.000 0.836
S1 0.000 0.500 0.000
S2 0.167 0.000 0.333
# Raw total energy: -150.84 eV per cell

=====

Entry 14:
# Fe2OsRh9 PBE optimized geometry
data_Fe2OsRh9
_cell_length_a 3.821
_cell_length_b 3.821
_cell_length_c 11.461
_cell_angle_alpha 90.00
_cell_angle_beta 90.00
_cell_angle_gamma 90.00
_symmetry_space_group_name_H-M 'P 4/m m m'
_symmetry_Int_Tables_number 123
_symmetry_space_group_name_Hall '-P 4 2'
loop_
_atom_site_label
_atom_site_fract_x
_atom_site_fract_y
_atom_site_fract_z
Fe1 0.000 0.000 0.162
Os1 0.000 0.000 0.500
Rh1 0.000 0.500 0.000
Rh2 0.000 0.500 0.334
Rh3 0.500 0.500 0.167
Rh4 0.500 0.500 0.500
# Raw total energy: -94.54 eV per cell

=====

Entry 15:
# LiY2Ge2 PBE optimized geometry
data_LiY2Ge2
_cell_length_a 4.278
_cell_length_b 6.016
_cell_length_c 8.563
_cell_angle_alpha 90.00
_cell_angle_beta 90.00
_cell_angle_gamma 90.00
_symmetry_space_group_name_H-M 'I m m m'
_symmetry_Int_Tables_number 71
_symmetry_space_group_name_Hall '-I 2 2'
loop_
_atom_site_label
_atom_site_fract_x
_atom_site_fract_y
_atom_site_fract_z
Li1 0.000 0.000 0.000
Y1 0.000 0.500 0.207
Ge1 0.000 0.217 0.500
# Raw total energy: -55.29 eV per cell

=====

Entry 16:
# La2BiP PBE optimized geometry
data_La2BiP
_cell_length_a 4.3942
_cell_length_b 4.3942
_cell_length_c 23.1191
_cell_angle_alpha 90.00
_cell_angle_beta 90.00
_cell_angle_gamma 120.00
_symmetry_space_group_name_H-M 'R 3 m'
_symmetry_Int_Tables_number 160
_symmetry_space_group_name_Hall 'R 3 -2"'
loop_
_atom_site_label
_atom_site_fract_x
_atom_site_fract_y
_atom_site_fract_z
La1 0.0000 0.0000 0.0000
La2 0.0000 0.0000 0.1878
Bi1 0.0000 0.0000 0.4267
P1 0.0000 0.0000 0.5955
# Raw total energy: -71.73 eV per cell

=====

Entry 17:
# Tl2HS6 PBE optimized geometry
data_Tl2HS6
_cell_length_a 4.319
_cell_length_b 8.918
_cell_length_c 13.930
_cell_angle_alpha 76.95
_cell_angle_beta 88.31
_cell_angle_gamma 76.00
_symmetry_space_group_name_H-M 'P -1'
_symmetry_Int_Tables_number 2
loop_
_symmetry_equiv_pos_as_xyz
'x,y,z'
'-x,-y,-z'
loop_
_atom_site_label
_atom_site_fract_x
_atom_site_fract_y
_atom_site_fract_z
Tl1 0.042 0.395 0.097
Tl2 0.164 0.074 0.368
H1 0.092 0.262 0.218
S1 0.240 0.116 0.699
S2 0.255 0.301 0.588
S3 0.341 0.790 0.097
S4 0.353 0.804 0.951
S5 0.449 0.563 0.171
S6 0.484 0.768 0.524
# Raw total energy: -64.35 eV per cell

=====

Entry 18:
# Sr2CuBrN PBE optimized geometry
data_Sr2CuBrN
_cell_length_a 5.460
_cell_length_b 5.460
_cell_length_c 3.792
_cell_angle_alpha 90.00
_cell_angle_beta 90.00
_cell_angle_gamma 90.00
_symmetry_space_group_name_H-M 'P 4/m m m'
_symmetry_Int_Tables_number 123
_symmetry_space_group_name_Hall '-P 4 2'
loop_
_atom_site_label
_atom_site_fract_x
_atom_site_fract_y
_atom_site_fract_z
Sr1 0.000 0.500 0.000
Cu1 0.000 0.000 0.500
Br1 0.500 0.500 0.500
N1 0.000 0.000 0.000
# Raw total energy: -21.19 eV per cell

=====

Entry 19:
# Zr2TiZnC PBE optimized geometry
data_Zr2TiZnC
_cell_length_a 4.530
_cell_length_b 4.530
_cell_length_c 4.192
_cell_angle_alpha 90.00
_cell_angle_beta 90.00
_cell_angle_gamma 90.00
_symmetry_space_group_name_H-M 'P 4/m m m'
_symmetry_Int_Tables_number 123
_symmetry_space_group_name_Hall '-P 4 2'
loop_
_atom_site_label
_atom_site_fract_x
_atom_site_fract_y
_atom_site_fract_z
Zr1 0.000 0.500 0.000
Ti1 0.000 0.000 0.500
Zn1 0.500 0.500 0.500
C1 0.000 0.000 0.000
# Raw total energy: -37.64 eV per cell

=====

Entry 20:
# BaCo3Hg PBE optimized geometry
data_BaCo3Hg
_cell_length_a 4.888
_cell_length_b 4.888
_cell_length_c 4.888
_cell_angle_alpha 90.00
_cell_angle_beta 90.00
_cell_angle_gamma 90.00
_symmetry_space_group_name_H-M 'P m -3 m'
_symmetry_Int_Tables_number 221
_symmetry_space_group_name_Hall '-P 4 2 3'
loop_
_atom_site_label
_atom_site_fract_x
_atom_site_fract_y
_atom_site_fract_z
Ba1 0.000 0.000 0.000
Co1 0.000 0.000 0.500
Hg1 0.500 0.500 0.500
# Polymorph energy (0 for the lowest one): 1024 meV per atom